No. 1
This record from the Alexandria database describes crystalline LiDy3Pu2S6 at its relaxed geometry. The functional is PBE.

```
12
Lattice="-5.1946 -3.9054 1.9238 4.9144 1.5198 4.4131 -3.1526 6.0104 -0.2965" Properties=species:S:1:pos:R:3 pbc="T T T"
Dy -1.7164 1.8124 3.0202
S -0.9162 3.5951 4.9540
Li 0.0000 0.0000 0.0000
S -2.5165 0.0297 1.0864
S -1.0008 -0.2993 4.7168
S -4.2277 1.8179 4.1385
Dy 1.6527 3.6205 3.8498
Dy -5.0854 0.0043 2.1906
Pu 1.5433 -0.2894 3.5830
Pu -1.8234 -2.0962 2.7539
S -2.4319 3.9241 1.3236
S 0.7950 1.8069 1.9018
```

Output
Electronic total energy (eV per cell): -91.5
SG: C2/m (12)
Total moment (μB/f.u.): 11.6

---

No. 2
This record from the Alexandria database describes crystalline LiDyPuSe3 at its relaxed geometry. The functional is PBE.

```
12
Lattice="-2.7719 -2.7913 -0.8631 3.8103 -5.3940 5.2076 -5.7446 4.0683 5.2924" Properties=species:S:1:pos:R:3 pbc="T T T"
Li -3.7031 1.2020 3.3076
Dy 0.8898 -3.6143 4.1334
Se -4.0905 -1.2701 3.1503
Se -0.6157 -2.8469 6.4867
Dy -5.5960 -0.5027 5.5036
Se -5.2960 2.2959 4.8855
Pu -1.2821 -0.7617 1.8830
Li -1.0031 -5.3190 6.3294
Se 0.5898 -6.4129 4.7515
Se -1.4328 -3.7001 2.4737
Se -3.2735 -0.4169 7.1633
Pu -3.4241 -3.3553 7.7540
```

Output
Electronic total energy (eV per cell): -81.1
SG: P2_1/m (11)
Total moment (μB/f.u.): 5.8

---

No. 3
This record from the Alexandria database describes crystalline LiDy3Pu2Se6 at its relaxed geometry. The functional is PBE.

```
12
Lattice="7.0782 -0.0032 -0.0018 -3.5401 6.1293 -0.0018 -1.1818 -2.0462 6.7038" Properties=species:S:1:pos:R:3 pbc="T T T"
Pu 3.5337 2.0439 -0.0018
Se 0.0555 4.0828 5.0199
Se 2.3008 -0.0029 1.6802
Se 3.5087 2.0885 5.0199
Dy 4.6999 0.0060 3.3501
Se -1.1524 1.9914 1.6802
Li 0.0000 0.0000 0.0000
Dy -2.3436 4.0739 3.3501
Se 2.3869 4.1329 1.6830
Dy 1.1782 2.0400 3.3501
Pu 0.0043 4.0822 -0.0018
Se -0.0306 -0.0530 5.0171
```

Output
Electronic total energy (eV per cell): -85.2
SG: C2/m (12)
Total moment (μB/f.u.): 11.9

---

No. 4
This record from the Alexandria database describes crystalline Li3DyPu2Se6 at its relaxed geometry. The functional is PBE.

```
12
Lattice="7.1177 -0.0002 0.0013 -3.5573 6.1650 0.0013 -1.1871 -2.0554 6.4572" Properties=species:S:1:pos:R:3 pbc="T T T"
Se 3.5517 2.0665 4.8164
Se 0.0149 4.1091 4.8164
Se -1.1784 2.0429 1.6434
Pu 0.0003 4.1103 0.0013
Li 4.7565 -0.0071 3.2299
Dy 0.0000 0.0000 0.0000
Pu 3.5601 2.0544 0.0013
Se 2.3809 4.1225 1.6457
Li 1.1866 2.0547 3.2299
Se 2.3584 0.0002 1.6434
Li -2.3832 4.1164 3.2299
Se -0.0076 -0.0132 4.8141
```

Output
Electronic total energy (eV per cell): -77.8
SG: C2/m (12)
Total moment (μB/f.u.): 10.0

---

No. 5
This record from the Alexandria database describes crystalline LiDy2PuSe5 at its relaxed geometry. The functional is PBE.

```
18
Lattice="-0.1038 -0.4655 4.0450 4.8560 -6.7414 -2.7019 10.1933 6.9186 1.0577" Properties=species:S:1:pos:R:3 pbc="T T T"
Se 2.8366 1.7259 2.3220
Se 10.2073 -2.5839 2.0150
Se 3.5218 -5.1010 -0.4967
Pu 7.9709 -0.9847 2.1417
Se 1.2225 -0.0907 0.0209
Pu 1.9124 -2.7396 -0.2662
Dy 11.6580 0.0291 2.3530
Se 6.3380 1.3608 2.3698
Li 9.5240 -3.4177 -0.1490
Se 9.5423 0.5888 0.3125
Se 3.6705 -2.0533 1.9084
Se 10.3219 2.8981 2.6489
Li 10.0960 6.3021 3.0348
Dy 4.2018 0.3031 0.1427
Se 12.7875 -1.5537 0.1492
Se 6.4104 -1.9737 -0.0627
Dy 5.5847 -4.4162 1.6856
Dy 8.0185 3.2168 0.5759
```

Output
Electronic total energy (eV per cell): -113.5
SG: Cmc2_1 (36)
Total moment (μB/f.u.): 5.0

---

No. 6
This record from the Alexandria database describes crystalline LiDyPuTc at its relaxed geometry. The functional is PBE.

```
4
Lattice="4.8908 0.0000 0.0000 2.4454 4.2356 0.0000 2.4454 1.4119 3.9934" Properties=species:S:1:pos:R:3 pbc="T T T"
Tc 4.8908 2.8237 1.9967
Pu 2.4454 1.4119 0.9983
Li 0.0000 0.0000 0.0000
Dy 7.3363 4.2356 2.9950
```

Output
SG: F-43m (216)
Total moment (μB/f.u.): 4.7
ΔE_f (eV/atom): 0.096

---

No. 7
This record from the Alexandria database describes crystalline LiDy3Pu3Te8 at its relaxed geometry. The functional is PBE.

```
15
Lattice="-2.8585 7.4570 -3.6140 1.5222 -7.0104 -5.0374 -6.8227 0.0496 5.4963" Properties=species:S:1:pos:R:3 pbc="T T T"
Te -2.3163 -1.3658 -6.3734
Te -1.6303 -1.6194 -2.0521
Pu -4.0795 0.2481 -1.5775
Pu -4.8406 3.7533 0.9412
Te -0.8672 -5.1443 -4.5427
Dy 0.0000 0.0000 0.0000
Te -6.5286 2.1157 -1.1029
Dy 0.7611 -3.5052 -2.5187
Te -5.8427 1.8621 3.2184
Dy -0.6682 0.2233 -4.3257
Te -7.2918 5.6406 1.3877
Pu -2.6502 -3.4804 0.2295
Te -3.0655 2.0932 -3.8872
Li -3.4113 0.0248 2.7482
Te -5.0935 -1.5969 0.7322
```

Output
Electronic total energy (eV per cell): -101.6
SG: R-3m (166)
Total moment (μB/f.u.): 17.4

---

No. 8
This record from the Alexandria database describes crystalline LiDyPuTe3 at its relaxed geometry. The functional is PBE.

```
12
Lattice="4.3015 0.0000 0.0000 0.0000 8.9305 0.0850 0.0000 -2.2707 9.2429" Properties=species:S:1:pos:R:3 pbc="T T T"
Te 1.0754 3.2290 7.7068
Te 3.2261 7.8000 1.2591
Pu 3.2261 5.5556 7.1848
Dy 1.0754 5.6089 1.5689
Li 3.2261 7.2258 3.9302
Te 3.2261 3.4307 1.6211
Li 1.0754 -0.5661 5.3977
Te 1.0754 -1.1402 8.0688
Pu 1.0754 1.1041 2.1431
Dy 3.2261 1.0509 7.7590
Te 1.0754 5.7093 4.6743
Te 3.2261 0.9505 4.6536
```

Output
Electronic total energy (eV per cell): -74.4
SG: P2_1/m (11)
Total moment (μB/f.u.): 5.9

---

No. 9
This record from the Alexandria database describes crystalline LiDy3Pu2Te6 at its relaxed geometry. The functional is PBE.

```
12
Lattice="4.3621 0.0000 0.0000 0.0000 8.7769 0.2813 -2.1811 -2.5643 9.2064" Properties=species:S:1:pos:R:3 pbc="T T T"
Pu 2.1811 4.1563 6.3411
Te 2.1811 -0.1804 3.0201
Pu 0.0000 2.0562 3.1465
Te 2.1811 -0.4084 9.2173
Li 2.1811 0.0000 0.0000
Te 0.0000 6.3930 6.4676
Te 0.0000 1.9404 6.2715
Dy 2.1811 4.3884 0.1406
Te 2.1811 4.2721 3.2162
Dy 0.0000 6.4288 3.3491
Te 0.0000 6.6210 0.2704
Dy 2.1811 -0.2163 6.1386
```

Output
Electronic total energy (eV per cell): -78.0
SG: C2/m (12)
Total moment (μB/f.u.): 12.0

---

No. 10
This record from the Alexandria database describes crystalline LiDyPu2Te4 at its relaxed geometry. The functional is PBE.

```
8
Lattice="4.3916 0.0000 0.0000 0.0000 7.6136 0.1359 0.0000 -2.6544 7.1103" Properties=species:S:1:pos:R:3 pbc="T T T"
Pu 0.0000 2.4796 3.6231
Dy 0.0000 0.0000 0.0000
Te 0.0000 5.0295 1.7990
Pu 2.1958 -1.3272 3.5552
Te 2.1958 1.2704 1.7502
Li 2.1958 3.8068 0.0680
Te 2.1958 3.6888 5.4960
Te 0.0000 -0.0703 5.4472
```

Output
Electronic total energy (eV per cell): -57.0
SG: P2/m (10)
Total moment (μB/f.u.): 11.7

---

No. 11
This record from the Alexandria database describes crystalline LiDy2PuTe4 at its relaxed geometry. The functional is PBE.

```
8
Lattice="-3.8673 1.8061 -0.8608 1.0330 -1.3047 -7.3782 -3.4912 -5.9674 3.1644" Properties=species:S:1:pos:R:3 pbc="T T T"
Te -2.5486 -0.8916 -1.4329
Dy -3.6792 -2.0806 1.1518
Te -3.7769 -4.5743 -3.6417
Dy -1.2291 -3.6360 -2.1069
Pu -1.4172 0.2507 -4.1195
Te -0.0935 -2.4829 -4.7893
Te -2.3647 -4.7892 0.5754
Li 0.0000 0.0000 0.0000
```

Output
Electronic total energy (eV per cell): -48.0
SG: P2/m (10)
Total moment (μB/f.u.): 6.0

---

No. 12
This record from the Alexandria database describes crystalline LiDyPu2Te5 at its relaxed geometry. The functional is PBE.

```
18
Lattice="4.3598 0.0000 0.0000 -2.1799 9.2981 0.0000 0.0000 0.0000 13.1408" Properties=species:S:1:pos:R:3 pbc="T T T"
Te 0.0000 9.2299 10.2205
Li 0.0000 8.2434 6.0488
Pu 2.1799 7.3157 2.3879
Pu 2.1799 6.9457 10.5608
Te 0.0000 5.8132 4.5375
Pu 0.0000 1.9824 8.9582
Pu 0.0000 2.3524 3.9904
Te 2.1799 3.4849 11.1078
Te 2.1799 8.4170 7.5393
Te 2.1799 4.0114 2.2602
Te 0.0000 5.2867 8.8306
Te 0.0000 6.7776 0.0040
Dy 0.0000 3.7220 0.1206
Dy 2.1799 5.5761 6.6910
Te 0.0000 0.8811 0.9689
Te 2.1799 0.0682 3.6501
Te 2.1799 2.5205 6.5744
Li 2.1799 1.0547 12.6192
```

Output
Electronic total energy (eV per cell): -120.4
SG: Cmc2_1 (36)
Total moment (μB/f.u.): 0.0